[1]
# Dy3Mg3IrPdAu (PBE, relaxed)
data_Dy3Mg3IrPdAu
_cell_length_a 7.4832
_cell_length_b 7.4832
_cell_length_c 4.0346
_cell_angle_alpha 90.00
_cell_angle_beta 90.00
_cell_angle_gamma 120.00
_space_group_name_H-M_alt 'P 1'
_space_group_IT_number 1
loop_
_space_group_symop_operation_xyz
'x,y,z'
loop_
_atom_site_label
_atom_site_fract_x
_atom_site_fract_y
_atom_site_fract_z
Dy1 0.0226 0.5995 0.0000
Dy2 0.4005 0.4230 0.0000
Dy3 0.5770 0.9774 0.0000
Mg1 0.0001 0.2460 0.5000
Mg2 0.2458 0.9999 0.5000
Mg3 0.7540 0.7542 0.5000
Ir1 0.3333 0.6667 0.5000
Pd1 0.0000 0.0000 0.0000
Au1 0.6667 0.3333 0.5000
# Calculated total energy ... -4.69 eV/atom

---

[2]
# TaAlFe2 (PBE, relaxed)
data_TaAlFe2
_cell_length_a 6.0553
_cell_length_b 6.9873
_cell_length_c 5.1125
_cell_angle_alpha 90.00
_cell_angle_beta 90.00
_cell_angle_gamma 90.00
_space_group_name_H-M_alt 'P 1'
_space_group_IT_number 1
loop_
_space_group_symop_operation_xyz
'x,y,z'
loop_
_atom_site_label
_atom_site_fract_x
_atom_site_fract_y
_atom_site_fract_z
Ta1 0.0243 0.2500 0.1501
Ta2 0.4757 0.7500 0.6501
Ta3 0.5243 0.2500 0.3499
Ta4 0.9757 0.7500 0.8499
Al1 0.1036 0.7500 0.3574
Al2 0.3964 0.2500 0.8574
Al3 0.6036 0.7500 0.1426
Al4 0.8964 0.2500 0.6426
Fe1 0.1913 0.0331 0.6125
Fe2 0.1913 0.4669 0.6125
Fe3 0.3087 0.5331 0.1125
Fe4 0.3087 0.9669 0.1125
Fe5 0.6913 0.0331 0.8875
Fe6 0.6913 0.4669 0.8875
Fe7 0.8087 0.5331 0.3875
Fe8 0.8087 0.9669 0.3875
# Calculated total energy ... -8.07 eV/atom

---

[3]
# Tb2PS (PBE, relaxed)
data_Tb2PS
_cell_length_a 3.9817
_cell_length_b 5.6142
_cell_length_c 7.9745
_cell_angle_alpha 90.00
_cell_angle_beta 90.00
_cell_angle_gamma 90.00
_space_group_name_H-M_alt 'P 1'
_space_group_IT_number 1
loop_
_space_group_symop_operation_xyz
'x,y,z'
loop_
_atom_site_label
_atom_site_fract_x
_atom_site_fract_y
_atom_site_fract_z
Tb1 0.2500 0.2500 0.1186
Tb2 0.2500 0.2500 0.6332
Tb3 0.7500 0.7500 0.3668
Tb4 0.7500 0.7500 0.8814
P1 0.2500 0.7500 0.1275
P2 0.7500 0.2500 0.8725
S1 0.2500 0.7500 0.6220
S2 0.7500 0.2500 0.3780
# Calculated total energy ... -6.58 eV/atom

---

[4]
# PrReAg3 (PBE, relaxed)
data_PrReAg3
_cell_length_a 2.8944
_cell_length_b 5.5586
_cell_length_c 6.9282
_cell_angle_alpha 72.42
_cell_angle_beta 78.44
_cell_angle_gamma 76.09
_space_group_name_H-M_alt 'P 1'
_space_group_IT_number 1
loop_
_space_group_symop_operation_xyz
'x,y,z'
loop_
_atom_site_label
_atom_site_fract_x
_atom_site_fract_y
_atom_site_fract_z
Pr1 0.0000 0.0000 0.0000
Re1 0.9458 0.5709 0.8594
Ag1 0.3345 0.3966 0.2211
Ag2 0.4306 0.9198 0.5330
Ag3 0.6627 0.3766 0.5786
# Formation energy from the elements ... 0.40 eV/atom

---

[5]
# Rb2TbNdS4 (PBE, relaxed)
data_Rb2TbNdS4
_cell_length_a 4.1421
_cell_length_b 4.1421
_cell_length_c 15.4024
_cell_angle_alpha 90.00
_cell_angle_beta 90.00
_cell_angle_gamma 120.00
_space_group_name_H-M_alt 'P 1'
_space_group_IT_number 1
loop_
_space_group_symop_operation_xyz
'x,y,z'
loop_
_atom_site_label
_atom_site_fract_x
_atom_site_fract_y
_atom_site_fract_z
Rb1 0.3333 0.6667 0.2526
Rb2 0.6667 0.3333 0.7474
Tb1 0.0000 0.0000 0.5000
Nd1 0.0000 0.0000 0.0000
S1 0.3333 0.6667 0.5950
S2 0.3333 0.6667 0.8989
S3 0.6667 0.3333 0.1011
S4 0.6667 0.3333 0.4050
# Calculated total energy ... -5.31 eV/atom

---

[6]
# BeHgPd2 (PBE, relaxed)
data_BeHgPd2
_cell_length_a 4.4094
_cell_length_b 4.4094
_cell_length_c 4.4094
_cell_angle_alpha 60.00
_cell_angle_beta 60.00
_cell_angle_gamma 60.00
_space_group_name_H-M_alt 'P 1'
_space_group_IT_number 1
loop_
_space_group_symop_operation_xyz
'x,y,z'
loop_
_atom_site_label
_atom_site_fract_x
_atom_site_fract_y
_atom_site_fract_z
Be1 0.0000 0.0000 0.0000
Hg1 0.2500 0.2500 0.2500
Pd1 0.5000 0.5000 0.5000
Pd2 0.7500 0.7500 0.7500
# Calculated total energy ... -3.61 eV/atom

---

[7]
# LiZnPO4 (PBE, relaxed)
data_LiZnPO4
_cell_length_a 8.4209
_cell_length_b 8.4209
_cell_length_c 8.4209
_cell_angle_alpha 107.79
_cell_angle_beta 107.79
_cell_angle_gamma 107.79
_space_group_name_H-M_alt 'P 1'
_space_group_IT_number 1
loop_
_space_group_symop_operation_xyz
'x,y,z'
loop_
_atom_site_label
_atom_site_fract_x
_atom_site_fract_y
_atom_site_fract_z
Li1 0.0207 0.7876 0.1917
Li2 0.1917 0.0207 0.7876
Li3 0.3051 0.4822 0.7030
Li4 0.4822 0.7030 0.3051
Li5 0.7030 0.3051 0.4822
Li6 0.7876 0.1917 0.0207
Zn1 0.1438 0.3769 0.9703
Zn2 0.3769 0.9703 0.1438
Zn3 0.4578 0.8589 0.6831
Zn4 0.6831 0.4578 0.8589
Zn5 0.8589 0.6831 0.4578
Zn6 0.9703 0.1438 0.3769
P1 0.0407 0.6330 0.8170
P2 0.1218 0.5285 0.3452
P3 0.3452 0.1218 0.5285
P4 0.5285 0.3452 0.1218
P5 0.6330 0.8170 0.0407
P6 0.8170 0.0407 0.6330
O1 0.0133 0.6462 0.3321
O2 0.1522 0.5174 0.8229
O3 0.1736 0.8405 0.8892
O4 0.2258 0.2279 0.5480
O5 0.2279 0.5480 0.2258
O6 0.2662 0.6024 0.5477
O7 0.2700 0.9858 0.3222
O8 0.3222 0.2700 0.9858
O9 0.3321 0.0133 0.6462
O10 0.5174 0.8229 0.1522
O11 0.5480 0.2258 0.2279
O12 0.5477 0.2662 0.6024
O13 0.5575 0.6180 0.8903
O14 0.6024 0.5477 0.2662
O15 0.6148 0.9449 0.9438
O16 0.6180 0.8903 0.5575
O17 0.6462 0.3321 0.0133
O18 0.8229 0.1522 0.5174
O19 0.8405 0.8892 0.1736
O20 0.8892 0.1736 0.8405
O21 0.8903 0.5575 0.6180
O22 0.9438 0.6148 0.9449
O23 0.9449 0.9438 0.6148
O24 0.9858 0.3222 0.2700
# Excess energy over the best structure of this formula in the dataset ... 0.42 kJ/mol of atoms

---

[8]
# NaHfFeBi (PBE, relaxed)
data_NaHfFeBi
_cell_length_a 4.6594
_cell_length_b 4.6594
_cell_length_c 4.6594
_cell_angle_alpha 60.00
_cell_angle_beta 60.00
_cell_angle_gamma 60.00
_space_group_name_H-M_alt 'P 1'
_space_group_IT_number 1
loop_
_space_group_symop_operation_xyz
'x,y,z'
loop_
_atom_site_label
_atom_site_fract_x
_atom_site_fract_y
_atom_site_fract_z
Na1 0.0000 0.0000 0.0000
Hf1 0.7500 0.7500 0.7500
Fe1 0.5000 0.5000 0.5000
Bi1 0.2500 0.2500 0.2500
# Excess energy over the best structure of this formula in the dataset ... 0.00 kJ/mol of atoms

---

[9]
# ScCuSnPd (PBE, relaxed)
data_ScCuSnPd
_cell_length_a 4.6196
_cell_length_b 4.6196
_cell_length_c 4.6196
_cell_angle_alpha 60.00
_cell_angle_beta 60.00
_cell_angle_gamma 60.00
_space_group_name_H-M_alt 'P 1'
_space_group_IT_number 1
loop_
_space_group_symop_operation_xyz
'x,y,z'
loop_
_atom_site_label
_atom_site_fract_x
_atom_site_fract_y
_atom_site_fract_z
Sc1 0.0000 0.0000 0.0000
Cu1 0.2500 0.2500 0.2500
Sn1 0.7500 0.7500 0.7500
Pd1 0.5000 0.5000 0.5000
# Excess energy over the best structure of this formula in the dataset ... 14.35 kJ/mol of atoms

---

[10]
# Lu2ZnIr (PBE, relaxed)
data_Lu2ZnIr
_cell_length_a 4.7168
_cell_length_b 4.7168
_cell_length_c 4.7168
_cell_angle_alpha 60.00
_cell_angle_beta 60.00
_cell_angle_gamma 60.00
_space_group_name_H-M_alt 'P 1'
_space_group_IT_number 1
loop_
_space_group_symop_operation_xyz
'x,y,z'
loop_
_atom_site_label
_atom_site_fract_x
_atom_site_fract_y
_atom_site_fract_z
Lu1 0.0000 0.0000 0.0000
Lu2 0.2500 0.2500 0.2500
Zn1 0.7500 0.7500 0.7500
Ir1 0.5000 0.5000 0.5000
# Formation energy from the elements ... -0.39 eV/atom
# Excess energy over the best structure of this formula in the dataset ... 7.67 kJ/mol of atoms

---

[11]
# SrCdCuGe2 (PBE, relaxed)
data_SrCdCuGe2
_cell_length_a 6.3255
_cell_length_b 6.3255
_cell_length_c 6.3255
_cell_angle_alpha 139.18
_cell_angle_beta 139.18
_cell_angle_gamma 59.10
_space_group_name_H-M_alt 'P 1'
_space_group_IT_number 1
loop_
_space_group_symop_operation_xyz
'x,y,z'
loop_
_atom_site_label
_atom_site_fract_x
_atom_site_fract_y
_atom_site_fract_z
Sr1 0.0000 0.0000 0.0000
Cd1 0.2500 0.7500 0.5000
Cu1 0.7500 0.2500 0.5000
Ge1 0.3857 0.3857 0.0000
Ge2 0.6143 0.6143 0.0000
# Calculated total energy ... -3.42 eV/atom

---

[12]
# NpScNi (PBE, relaxed)
data_NpScNi
_cell_length_a 4.4359
_cell_length_b 4.4359
_cell_length_c 4.4359
_cell_angle_alpha 60.00
_cell_angle_beta 60.00
_cell_angle_gamma 60.00
_space_group_name_H-M_alt 'P 1'
_space_group_IT_number 1
loop_
_space_group_symop_operation_xyz
'x,y,z'
loop_
_atom_site_label
_atom_site_fract_x
_atom_site_fract_y
_atom_site_fract_z
Np1 0.0000 0.0000 0.0000
Sc1 0.5000 0.5000 0.5000
Ni1 0.7500 0.7500 0.7500
# Formation energy from the elements ... 0.28 eV/atom
# Excess energy over the best structure of this formula in the dataset ... 0.00 kJ/mol of atoms

---

| no. | volume (Å³/cell) |
| --- | --- |
| 1 | 195.7 |
| 2 | 216.3 |
| 3 | 178.3 |
| 4 | 102.2 |
| 5 | 228.9 |
| 6 | 60.6 |
| 7 | 486.2 |
| 8 | 71.5 |
| 9 | 69.7 |
| 10 | 74.2 |
| 11 | 107.1 |
| 12 | 61.7 |